(1)
Density functional theory data (PBE) for a relaxed structure of CsSr2Ga2.

Properties
As for the space-group type: P4/mbm, No. 127. The calculation puts the energy relative to the lowest polymorph listed for this composition at 0.13 eV per formula unit. The value obtained for the density of states at the Fermi level is 3.113 states/eV/f.u.

The structure in POSCAR format:
```
CsSr2Ga2
1.0
-2.421 9.156 -1.582
-8.049 -1.249 5.085
1.866 1.048 3.212
Cs Sr Ga
2 4 4
Direct
0.000 0.000 0.000
0.500 0.500 0.000
0.358 0.858 0.000
0.858 0.642 0.000
0.642 0.142 0.000
0.142 0.358 0.000
0.148 0.648 0.500
0.648 0.852 0.500
0.852 0.352 0.500
0.352 0.148 0.500
```

***

(2)
Density functional theory data (PBE) for a relaxed structure of Cs2Sr2Ga.

Properties
As for the space-group type: P4/mbm, No. 127. The value obtained for the density of states at the Fermi level is 1.174 states/eV/f.u. The total energy comes out at -1.51 eV per atom.

The structure in POSCAR format:
```
Cs2Sr2Ga
1.0
8.785 0.000 0.000
0.000 8.785 0.000
0.000 0.000 7.924
Cs Sr Ga
4 4 2
Direct
0.185 0.685 0.500
0.685 0.815 0.500
0.815 0.315 0.500
0.315 0.185 0.500
0.325 0.825 0.000
0.825 0.675 0.000
0.675 0.175 0.000
0.175 0.325 0.000
0.000 0.000 0.000
0.500 0.500 0.000
```

***

(3)
Density functional theory data (PBE) for a relaxed structure of CsSrGa3.

Properties
As for the space-group type: Pm-3m, No. 221. The calculation puts the energy relative to the lowest polymorph listed for this composition at 0.00 eV per formula unit. The value obtained for the density of states at the Fermi level is 7.310 states/eV/f.u.

The structure in POSCAR format:
```
CsSrGa3
1.0
6.118 0.000 0.000
0.000 6.118 0.000
0.000 0.000 6.118
Cs Sr Ga
1 1 3
Direct
0.500 0.500 0.500
0.000 0.000 0.000
0.000 0.500 0.000
0.000 0.000 0.500
0.500 0.000 0.000
```

***

(4)
Density functional theory data (PBE) for a relaxed structure of CsSrGa3.

Properties
As for the space-group type: Pm-3m, No. 221. The calculation puts the energy relative to the lowest polymorph listed for this composition at 1.62 eV per formula unit. The value obtained for the density of states at the Fermi level is 6.027 states/eV/f.u.

The structure in POSCAR format:
```
CsSrGa3
1.0
-0.997 5.096 -2.833
-5.343 0.353 2.515
2.336 2.983 4.543
Cs Sr Ga
1 1 3
Direct
0.000 0.000 0.000
0.500 0.500 0.500
0.000 0.500 0.000
0.000 0.000 0.500
0.500 0.000 0.000
```

***

(5)
Density functional theory data (PBE) for a relaxed structure of CsSr2Ga2.

Properties
As for the space-group type: P4/mbm, No. 127. The calculation puts the energy relative to the lowest polymorph listed for this composition at 0.15 eV per formula unit. The value obtained for the density of states at the Fermi level is 2.940 states/eV/f.u.

The structure in POSCAR format:
```
CsSr2Ga2
1.0
-1.691 1.919 9.046
-9.126 -1.834 -1.317
0.675 -4.068 0.989
Cs Sr Ga
2 4 4
Direct
0.000 0.000 0.000
0.500 0.500 0.000
0.175 0.675 0.500
0.675 0.825 0.500
0.825 0.325 0.500
0.325 0.175 0.500
0.396 0.896 0.000
0.896 0.604 0.000
0.604 0.104 0.000
0.104 0.396 0.000
```

***

(6)
Density functional theory data (PBE) for a relaxed structure of CsSr3Ga.

Properties
As for the space-group type: Pm-3m, No. 221. The calculation puts the energy relative to the lowest polymorph listed for this composition at 0.00 eV per formula unit. The value obtained for the density of states at the Fermi level is 2.658 states/eV/f.u.

The structure in POSCAR format:
```
CsSr3Ga
1.0
6.488 0.000 0.000
0.000 6.488 0.000
0.000 0.000 6.488
Cs Sr Ga
1 3 1
Direct
0.500 0.500 0.500
0.000 0.500 0.000
0.000 0.000 0.500
0.500 0.000 0.000
0.000 0.000 0.000
```

***

(7)
Density functional theory data (PBE) for a relaxed structure of CsSr2Ga2.

Properties
As for the space-group type: I4/mmm, No. 139. The calculation puts the energy relative to the lowest polymorph listed for this composition at 1.08 eV per formula unit. The value obtained for the density of states at the Fermi level is 4.393 states/eV/f.u.

The structure in POSCAR format:
```
CsSr2Ga2
1.0
5.975 0.000 0.000
0.000 5.975 0.000
2.988 2.988 6.673
Cs Sr Ga
1 2 2
Direct
0.000 0.000 0.000
0.336 0.336 0.328
0.664 0.664 0.672
0.750 0.250 0.500
0.250 0.750 0.500
```

***

(8)
Density functional theory data (PBE) for a relaxed structure of Cs2SrGa.

Properties
As for the space-group type: I-42d, No. 122. The value obtained for the density of states at the Fermi level is 4.512 states/eV/f.u. The total energy comes out at -1.41 eV per atom.

The structure in POSCAR format:
```
Cs2SrGa
1.0
-6.948 6.948 3.139
6.948 -6.948 3.139
6.948 6.948 -3.139
Cs Sr Ga
4 2 2
Direct
0.625 0.270 0.145
0.125 0.480 0.855
0.730 0.875 0.355
0.520 0.375 0.645
0.000 0.000 0.000
0.250 0.750 0.500
0.500 0.500 0.000
0.750 0.250 0.500
```

***

(9)
Density functional theory data (PBE) for a relaxed structure of CsSr3Ga.

Properties
As for the space-group type: Pm-3m, No. 221. The calculation puts the energy relative to the lowest polymorph listed for this composition at 5.29 eV per formula unit. The value obtained for the density of states at the Fermi level is 6.163 states/eV/f.u.

The structure in POSCAR format:
```
CsSr3Ga
1.0
6.243 0.000 0.000
0.000 6.243 0.000
0.000 0.000 6.243
Cs Sr Ga
1 3 1
Direct
0.000 0.000 0.000
0.000 0.500 0.000
0.000 0.000 0.500
0.500 0.000 0.000
0.500 0.500 0.500
```

***

(10)
Density functional theory data (PBE) for a relaxed structure of CsSr2Ga2.

Properties
As for the space-group type: I4/mmm, No. 139. The calculation puts the energy relative to the lowest polymorph listed for this composition at 0.00 eV per formula unit. The value obtained for the density of states at the Fermi level is 3.272 states/eV/f.u.

The structure in POSCAR format:
```
CsSr2Ga2
1.0
-2.169 -5.498 0.978
2.764 -1.969 -4.937
4.734 -4.955 0.992
Cs Sr Ga
1 2 2
Direct
0.000 0.000 0.000
0.750 0.250 0.500
0.250 0.750 0.500
0.389 0.389 0.223
0.611 0.611 0.777
```

***

(11)
Density functional theory data (PBE) for a relaxed structure of CsSrGaTe2.

Properties
As for the space-group type: P4/mmm, No. 123. The value obtained for the density of states at the Fermi level is 2.195 states/eV/f.u. The uncorrected formation energy is -0.1649 eV per atom.

The structure in POSCAR format:
```
CsSrGaTe2
1.0
-4.737 -3.950 0.908
3.889 -3.874 3.437
-1.553 3.059 5.206
Cs Sr Te Ga
1 1 2 1
Direct
0.000 0.500 0.000
0.000 0.000 0.000
0.000 0.000 0.500
0.500 0.000 0.000
0.500 0.500 0.500
```

***

(12)
Density functional theory data (PBE) for a relaxed structure of CsSr2ZnGa.

Properties
As for the space-group type: P4/mmm, No. 123. The value obtained for the density of states at the Fermi level is 4.868 states/eV/f.u. The total energy comes out at -1.61 eV per atom.

The structure in POSCAR format:
```
CsSr2ZnGa
1.0
6.418 0.000 0.000
0.000 5.129 0.000
0.000 0.000 6.418
Cs Sr Zn Ga
1 2 1 1
Direct
0.500 0.500 0.500
0.000 0.000 0.500
0.500 0.000 0.000
0.000 0.500 0.000
0.000 0.000 0.000
```

***

| no. | M_tot (μB per cell) |
| --- | --- |
| 1 | 0.00 |
| 2 | 2.00 |
| 3 | 1.17 |
| 4 | 0.00 |
| 5 | 0.00 |
| 6 | 0.00 |
| 7 | 1.13 |
| 8 | 0.01 |
| 9 | 0.00 |
| 10 | 0.00 |
| 11 | 0.00 |
| 12 | 0.00 |